## Cr4OF11 (PBE with a Hubbard U)

Data for an optimized crystal structure of Cr4OF11.

Cell lengths 5.0902, 5.3288, 16.8726 Å; angles 84.27, 81.33, 61.49 degrees
Element x y z (fractional)
Cr: 0.0000 0.0000 0.0000
Cr: 0.1133 0.1392 0.6280
Cr: 0.2406 0.2709 0.2544
Cr: 0.3797 0.3674 0.8735
Cr: 0.5000 0.5000 0.5000
Cr: 0.6203 0.6326 0.1265
Cr: 0.7594 0.7291 0.7456
Cr: 0.8867 0.8608 0.3720
O: 0.1886 0.5657 0.3131
O: 0.8114 0.4343 0.6869
F: 0.0682 0.6835 0.9370
F: 0.0881 0.0979 0.3437
F: 0.0959 0.7172 0.4674
F: 0.1584 0.5240 0.7802
F: 0.1601 0.1517 0.9064
F: 0.3119 0.9488 0.1896
F: 0.3419 0.3443 0.5934
F: 0.3492 0.9667 0.7174
F: 0.4022 0.7833 0.0330
F: 0.4030 0.4130 0.1589
F: 0.4279 0.8170 0.5632
F: 0.5721 0.1830 0.4368
F: 0.5970 0.5870 0.8411
F: 0.5978 0.2167 0.9670
F: 0.6508 0.0333 0.2826
F: 0.6581 0.6557 0.4066
F: 0.6881 0.0512 0.8104
F: 0.8399 0.8483 0.0936
F: 0.8416 0.4760 0.2198
F: 0.9041 0.2828 0.5326
F: 0.9119 0.9021 0.6563
F: 0.9318 0.3165 0.0630

Properties
E_tot in eV per cell: -192.93
M_tot in μB/f.u.: 11.00
Space-group type: No. 2